# 1
Below is a relaxed structure of NaTbSn2I8, with properties calculated at the GGA-PBE level.

Summary:
Its formation energy from raw total energies is -0.893 eV/atom.

```
12
Lattice="7.246 0.000 0.000 0.000 9.260 0.000 -0.155 0.000 7.738" Properties=species:S:1:pos:R:3 pbc="T T T"
Na 0.000 0.000 0.000
Tb 0.000 4.630 0.000
Sn 3.546 2.277 3.869
Sn 3.546 6.983 3.869
I 1.601 4.630 5.214
I 1.733 2.409 1.186
I 1.733 6.851 1.186
I 1.816 0.000 5.045
I 5.276 0.000 2.693
I 5.359 2.409 6.552
I 5.359 6.851 6.552
I 5.491 4.630 2.524
```

=====

# 2
Below is a relaxed structure of Ba2CaAlGe2, with properties calculated at the GGA-PBE level.

Summary:
Its energy of formation is -2.88 eV per formula unit.

```
12
Lattice="-3.573 7.537 3.457 3.573 -7.537 3.457 3.573 7.537 -3.457" Properties=species:S:1:pos:R:3 pbc="T T T"
Ba 1.525 2.657 0.000
Ba 1.525 -2.657 3.457
Ba 2.048 10.194 0.000
Ba 2.048 4.881 3.457
Ca 3.573 0.000 1.729
Ca 0.000 7.537 1.729
Al 0.000 0.000 1.729
Al 0.000 0.000 5.186
Ge 5.591 1.402 0.000
Ge 2.018 6.136 0.000
Ge 1.554 1.402 3.457
Ge -2.018 6.136 3.457
```

=====

# 3
Below is a relaxed structure of PmAlCu, with properties calculated at the GGA-PBE level.

Summary:
The energy relative to the lowest polymorph listed for this composition comes out at 32.6 meV/atom. Its energy of formation is -1.00 eV per formula unit.

```
3
Lattice="4.445 0.000 0.000 -2.222 3.849 0.000 0.000 0.000 3.757" Properties=species:S:1:pos:R:3 pbc="T T T"
Pm 0.000 0.000 0.000
Al 2.222 1.283 1.878
Cu 0.000 2.566 1.878
```

=====

# 4
Below is a relaxed structure of BaLa3Pt, with properties calculated at the GGA-PBE level.

Summary:
The energy relative to the lowest polymorph listed for this composition comes out at 78.0 meV/atom. Its energy of formation is -1.66 eV per formula unit.

```
20
Lattice="6.874 0.000 0.000 0.000 16.220 0.000 0.000 0.000 7.115" Properties=species:S:1:pos:R:3 pbc="T T T"
Ba 0.000 0.000 0.000
Ba 0.000 8.110 0.000
Ba 3.437 0.000 3.557
Ba 3.437 8.110 3.557
La 0.031 2.218 3.304
La 0.031 5.892 3.304
La 0.259 4.055 6.498
La 3.178 12.165 2.941
La 3.406 10.328 6.862
La 3.406 14.002 6.862
La 3.468 2.218 0.253
La 3.468 5.892 0.253
La 3.696 4.055 4.174
La 6.615 12.165 0.616
La 6.843 10.328 3.810
La 6.843 14.002 3.810
Pt 1.599 12.165 5.494
Pt 1.838 4.055 1.936
Pt 5.036 12.165 5.178
Pt 5.275 4.055 1.621
```

=====

no.,energy (eV/cell),DOS(E_F) (states/eV per cell)
1,-37.07,0.00
2,-43.41,7.22
3,-13.59,4.09
4,-97.63,21.34